Record 1
Below is an optimized crystal structure of VCr2F8, with properties calculated at the PBE+U level.

abc: 9.2344 6.7951 4.3977
angles: 90.00 93.46 90.00
Closest atoms and distances in Å follow each position.
Space group C2/m (No. 12)
One atom of each set of equivalent atoms:
V (0.0000, 0.0000, 0.0000) [2 per cell]  6 F 1.94-2.00
Cr (0.1251, 0.5000, 0.2525) [4 per cell]  4 F 1.97-2.02
F (0.0933, 0.5000, 0.7506) [4 per cell]  3 Cr 2.02-2.23
F (0.1108, 0.2108, 0.2318) [8 per cell]  1 Cr 1.97, 1 V 2.00
F (0.1619, 0.0000, 0.7373) [4 per cell]  1 V 1.94, 1 Cr 1.97

Its crystal system is monoclinic. For the relative energy among the computed polymorphs, the calculation gives 0.0 kJ/mol of atoms. For the total magnetic moment, the calculation gives 9.00 μB/f.u. Its density is 3.7 g/cm³.



Record 2
Below is an optimized crystal structure of VCr2F8, with properties calculated at the PBE+U level.

abc: 8.3233 6.9199 4.9789
angles: 90.00 104.17 90.00
Closest atoms and distances in Å follow each position.
Space group C2/m (No. 12)
One atom of each set of equivalent atoms:
V (0.0000, 0.0000, 0.0000) [2 per cell]  6 F 1.93-2.03
Cr (0.1857, 0.5000, 0.4683) [4 per cell]  5 F 1.95-2.09
F (0.0602, 0.5000, 0.7522) [4 per cell]  2 Cr 1.95-2.07
F (0.1395, 0.1820, 0.2818) [8 per cell]  1 V 2.03, 1 Cr 2.09
F (0.1697, 0.0000, 0.7964) [4 per cell]  1 V 1.93, 1 Cr 1.99

Its crystal system is monoclinic. For the relative energy among the computed polymorphs, the calculation gives 6.1 kJ/mol of atoms. For the total magnetic moment, the calculation gives 9.00 μB/f.u. Its density is 3.7 g/cm³.



Record 3
Below is an optimized crystal structure of V2CrF, with properties calculated at the PBE+U level.

abc: 6.4945 6.4945 6.4945
angles: 90.00 90.00 90.00
Closest atoms and distances in Å follow each position.
Space group Fm-3m (No. 225)
One atom of each set of equivalent atoms:
V (0.2500, 0.2500, 0.2500) [8 per cell]  4 Cr 2.81, 4 F 2.81
Cr (0.0000, 0.0000, 0.0000) [4 per cell]  8 V 2.81
F (0.0000, 0.0000, 0.5000) [4 per cell]  8 V 2.81

Its crystal system is cubic. For the relative energy among the computed polymorphs, the calculation gives 30.0 kJ/mol of atoms. For the total magnetic moment, the calculation gives 2.82 μB/f.u. Its density is 4.2 g/cm³.



Record 4
Below is an optimized crystal structure of VCrF3, with properties calculated at the PBE+U level.

abc: 4.1571 4.1571 4.1571
angles: 90.00 90.00 90.00
Closest atoms and distances in Å follow each position.
Space group Pm-3m (No. 221)
One atom of each set of equivalent atoms:
V (0.0000, 0.0000, 0.0000) [1 per cell]  6 F 2.08
Cr (0.5000, 0.5000, 0.5000) [1 per cell]  12 F 2.94
F (0.0000, 0.0000, 0.5000) [3 per cell]  2 V 2.08

Its crystal system is cubic. For the relative energy among the computed polymorphs, the calculation gives 0.0 kJ/mol of atoms. For the total magnetic moment, the calculation gives 8.00 μB/f.u. Its density is 3.7 g/cm³.



Record 5
Below is an optimized crystal structure of VCr2F, with properties calculated at the PBE+U level.

abc: 6.5341 6.5341 6.5341
angles: 90.00 90.00 90.00
Closest atoms and distances in Å follow each position.
Space group Fm-3m (No. 225)
One atom of each set of equivalent atoms:
V (0.0000, 0.0000, 0.0000) [4 per cell]  8 Cr 2.83
Cr (0.2500, 0.2500, 0.2500) [8 per cell]  4 F 2.83, 4 V 2.83
F (0.0000, 0.0000, 0.5000) [4 per cell]  8 Cr 2.83

Its crystal system is cubic. For the total magnetic moment, the calculation gives 6.76 μB/f.u. Its final energy is -5.59 eV/atom. Its density is 4.1 g/cm³.



Record 6
Below is an optimized crystal structure of VCrF2, with properties calculated at the PBE+U level.

abc: 5.8923 5.8923 5.8923
angles: 90.00 90.00 90.00
Closest atoms and distances in Å follow each position.
Space group Fm-3m (No. 225)
One atom of each set of equivalent atoms:
V (0.0000, 0.0000, 0.0000) [4 per cell]  8 F 2.55
Cr (0.0000, 0.0000, 0.5000) [4 per cell]  8 F 2.55
F (0.2500, 0.2500, 0.2500) [8 per cell]  4 Cr 2.55, 4 V 2.55

Its crystal system is cubic. For the relative energy among the computed polymorphs, the calculation gives 59.7 kJ/mol of atoms. For the total magnetic moment, the calculation gives 4.50 μB/f.u. Its density is 4.6 g/cm³.



Record 7
Below is an optimized crystal structure of V2CrF8, with properties calculated at the PBE+U level.

abc: 8.3713 6.4367 5.2892
angles: 90.00 102.29 90.00
Closest atoms and distances in Å follow each position.
Space group C2/m (No. 12)
One atom of each set of equivalent atoms:
V (0.1841, 0.0000, 0.4477) [4 per cell]  7 F 1.97-2.10
Cr (0.0000, 0.5000, 0.0000) [2 per cell]  2 F 1.97
F (0.0522, 0.0000, 0.7308) [4 per cell]  2 V 2.00-2.04
F (0.1487, 0.3080, 0.3177) [8 per cell]  2 V 2.07-2.10, 1 Cr 2.24
F (0.1787, 0.5000, 0.8118) [4 per cell]  1 Cr 1.97, 1 V 1.97

Its crystal system is monoclinic. For the relative energy among the computed polymorphs, the calculation gives 0.0 kJ/mol of atoms. For the total magnetic moment, the calculation gives 8.00 μB/f.u. Its density is 3.6 g/cm³.



Record 8
Below is an optimized crystal structure of V2CrF, with properties calculated at the PBE+U level.

abc: 6.7857 6.7857 6.6452
angles: 90.00 90.00 90.00
Closest atoms and distances in Å follow each position.
Space group I-42d (No. 122)
One atom of each set of equivalent atoms:
V (0.1629, 0.2500, 0.1250) [8 per cell]  2 F 2.19
Cr (0.0000, 0.0000, 0.5000) [4 per cell]  8 V 2.97-3.21
F (0.0000, 0.0000, 0.0000) [4 per cell]  4 V 2.19

Its crystal system is tetragonal. For the relative energy among the computed polymorphs, the calculation gives 0.0 kJ/mol of atoms. For the total magnetic moment, the calculation gives 11.16 μB/f.u. Its density is 3.8 g/cm³.



Record 9
Below is an optimized crystal structure of VCrF5, with properties calculated at the PBE+U level.

abc: 8.7617 6.4271 7.6922
angles: 90.00 116.38 90.00
Closest atoms and distances in Å follow each position.
Space group C2/c (No. 15)
One atom of each set of equivalent atoms:
V (0.0000, 0.0000, 0.0000) [4 per cell]  6 F 1.94-2.05
Cr (0.0000, 0.4622, 0.2500) [4 per cell]  4 F 1.99-2.19
F (0.0000, 0.1095, 0.2500) [4 per cell]  2 V 2.05, 1 Cr 2.27
F (0.0203, 0.2947, 0.9579) [8 per cell]  1 V 1.94
F (0.2462, 0.0335, 0.6334) [8 per cell]  1 V 1.95, 1 Cr 1.99

Its crystal system is monoclinic. For the total magnetic moment, the calculation gives 6.00 μB/f.u. Its final energy is -6.20 eV/atom. Its density is 3.4 g/cm³.



Record 10
Below is an optimized crystal structure of VCrF2, with properties calculated at the PBE+U level.

abc: 5.5636 5.5636 8.9576
angles: 90.00 90.00 90.00
Closest atoms and distances in Å follow each position.
Space group I-42d (No. 122)
One atom of each set of equivalent atoms:
V (0.0000, 0.0000, 0.0000) [4 per cell]  4 F 2.16
Cr (0.0000, 0.0000, 0.5000) [4 per cell]  4 F 2.38
F (0.2184, 0.2500, 0.1250) [8 per cell]  2 V 2.16, 2 Cr 2.38

Its crystal system is tetragonal. For the relative energy among the computed polymorphs, the calculation gives 12.0 kJ/mol of atoms. For the total magnetic moment, the calculation gives 8.67 μB/f.u. Its density is 3.4 g/cm³.



Record 11
Below is an optimized crystal structure of VCrF3, with properties calculated at the PBE+U level.

abc: 4.1649 4.1649 4.1649
angles: 90.00 90.00 90.00
Closest atoms and distances in Å follow each position.
Space group Pm-3m (No. 221)
One atom of each set of equivalent atoms:
V (0.0000, 0.0000, 0.0000) [1 per cell]  12 F 2.95
Cr (0.5000, 0.5000, 0.5000) [1 per cell]  6 F 2.08
F (0.0000, 0.5000, 0.5000) [3 per cell]  2 Cr 2.08

Its crystal system is cubic. For the relative energy among the computed polymorphs, the calculation gives 52.2 kJ/mol of atoms. For the total magnetic moment, the calculation gives 7.95 μB/f.u. Its density is 3.7 g/cm³.



Record 12
Below is an optimized crystal structure of VCr3F9, with properties calculated at the PBE+U level.

abc: 5.6522 7.4133 8.2843
angles: 90.00 97.91 90.00
Closest atoms and distances in Å follow each position.
Space group P2_1/m (No. 11)
One atom of each set of equivalent atoms:
V (0.0546, 0.2500, 0.4041) [2 per cell]  3 F 2.13-2.15
Cr (0.0000, 0.0000, 0.0000) [2 per cell]  6 F 1.93-1.97
Cr (0.4623, 0.0030, 0.6973) [4 per cell]  4 F 1.99-2.07
F (0.0884, 0.5683, 0.7863) [4 per cell]  1 Cr 1.97, 1 V 2.15
F (0.1011, 0.2500, 0.9676) [2 per cell]  2 Cr 1.97
F (0.2397, 0.5549, 0.4912) [4 per cell]  1 Cr 2.02
F (0.3134, 0.2500, 0.6574) [2 per cell]  2 Cr 2.02
F (0.3206, 0.5596, 0.0983) [4 per cell]  2 Cr 1.93-1.99
F (0.3834, 0.2500, 0.3058) [2 per cell]  2 Cr 2.07, 1 V 2.13

Its crystal system is monoclinic. For the total magnetic moment, the calculation gives 14.00 μB/f.u. Its final energy is -6.16 eV/atom. Its density is 3.7 g/cm³.